Re2BPS | PBEsol | relaxed

Results
Formation energy without anion corrections (eV per atom): 2.11
Total magnetization (μB per atom): 0.00

a b c (Å): 4.156 4.335 4.335
angles (deg): 90.00 90.00 90.00
Fractional positions:
Re 0.000 0.500 0.000
Re 0.000 0.000 0.500
S 0.000 0.000 0.000
B 0.500 0.500 0.500
P 0.500 0.000 0.000